Model i:
# AcGdPO

A relaxed structure of AcGdPO (PBE, OQMD via LeMat-Bulk).

abc: 4.5222 4.5222 9.3073
angles: 90.00 90.00 90.00
Element x y z (fractional)
O 0.5000 0.5000 0.0000
Gd 0.0000 0.0000 0.5000
P 0.5000 0.0000 0.3229
P 0.0000 0.5000 0.6771
Ac 0.5000 0.0000 0.8798
Gd 0.5000 0.5000 0.5000
Ac 0.0000 0.5000 0.1202
O 0.0000 0.0000 0.0000

=====

Model ii:
# AcGdPO

A relaxed structure of AcGdPO (PBE, OQMD via LeMat-Bulk).

abc: 4.6459 4.6459 8.6047
angles: 90.00 90.00 90.00
Element x y z (fractional)
P 0.5000 0.0000 0.2801
O 0.0000 0.0000 0.0000
Ac 0.5000 0.5000 0.5000
Gd 0.0000 0.5000 0.0695
P 0.0000 0.5000 0.7199
O 0.5000 0.5000 0.0000
Ac 0.0000 0.0000 0.5000
Gd 0.5000 0.0000 0.9305

=====

Model iii:
# AcGdPO

A relaxed structure of AcGdPO (PBE, OQMD via LeMat-Bulk).

abc: 4.4255 5.7219 7.5177
angles: 90.00 90.00 90.00
Last column: magnetic moment on the atom in μB.
Element x y z (fractional)
O 0.5000 0.2222 0.4134  0.00
P 0.0000 0.6679 0.3005  0.00
Gd 0.0000 0.8683 0.9445  0.34
Ac 0.5000 0.3944 0.0955  0.11
O 0.5000 0.7778 0.9134  0.00
P 0.0000 0.3321 0.8005  0.00
Gd 0.0000 0.1317 0.4445  0.34
Ac 0.5000 0.6056 0.5955  0.11

=====

Name the least stable of them. model ii.

=====

Model i:
# AcGeIr

A relaxed structure of AcGeIr (PBE, OQMD via LeMat-Bulk).

abc: 4.3345 4.3345 4.5044
angles: 90.00 90.00 120.00
Element x y z (fractional)
Ir 0.6667 0.3333 0.1669
Ge 0.3333 0.6667 0.1666
Ac 0.0000 0.0000 0.6665

=====

Model ii:
# AcGeIr

A relaxed structure of AcGeIr (PBE, OQMD via LeMat-Bulk).

abc: 4.7923 4.7923 4.7923
angles: 60.00 60.00 60.00
Element x y z (fractional)
Ge 0.2500 0.2500 0.2500
Ir 0.0000 0.0000 0.0000
Ac 0.7500 0.7500 0.7500

=====

Name the least stable of them. model ii.

=====

Model i:
# AcNbGe

A relaxed structure of AcNbGe (PBE, OQMD via LeMat-Bulk).

abc: 5.1655 5.1655 5.1655
angles: 60.00 60.00 60.00
Element x y z (fractional)
Nb 0.7500 0.7500 0.7500
Ac 0.0000 0.0000 0.0000
Ge 0.2500 0.2500 0.2500

=====

Model ii:
# AcNbGe

A relaxed structure of AcNbGe (PBE, OQMD via LeMat-Bulk).

abc: 4.7848 4.7848 4.7848
angles: 60.00 60.00 60.00
Last column: magnetic moment on the atom in μB.
Element x y z (fractional)
Nb 0.0000 0.0000 0.0000  0.77
Ge 0.2500 0.2500 0.2500  -0.03
Ac 0.7500 0.7500 0.7500  0.13

=====

Name the least stable of them. model i.

=====

Model i:
# AcZn2Ge2

A relaxed structure of AcZn2Ge2 (PBE, OQMD via LeMat-Bulk).

abc: 6.4847 6.4847 6.4847
angles: 140.97 140.97 56.38
Element x y z (fractional)
Zn 0.2500 0.7500 0.5000
Ge 0.6202 0.6202 0.0000
Zn 0.7500 0.2500 0.5000
Ge 0.3798 0.3798 0.0000
Ac 0.0000 0.0000 0.0000

=====

Model ii:
# AcZn2Ge2

A relaxed structure of AcZn2Ge2 (PBE, OQMD via LeMat-Bulk).

abc: 4.5928 4.5928 10.0832
angles: 90.00 90.00 90.00
Element x y z (fractional)
Ac 0.5000 0.0000 0.7485
Ac 0.0000 0.5000 0.2515
Zn 0.0000 0.5000 0.6222
Zn 0.0000 0.0000 0.0000
Ge 0.0000 0.0000 0.5000
Ge 0.5000 0.0000 0.1298
Zn 0.5000 0.5000 0.0000
Ge 0.0000 0.5000 0.8702
Zn 0.5000 0.0000 0.3778
Ge 0.5000 0.5000 0.5000

=====

Name the least stable of them. model i.

=====

Model i:
# AcZnGe

A relaxed structure of AcZnGe (PBE, OQMD via LeMat-Bulk).

abc: 4.8685 4.8685 4.8685
angles: 60.00 60.00 60.00
Element x y z (fractional)
Ac 0.2500 0.2500 0.2500
Zn 0.0000 0.0000 0.0000
Ge 0.7500 0.7500 0.7500

=====

Model ii:
# AcZnGe

A relaxed structure of AcZnGe (PBE, OQMD via LeMat-Bulk).

abc: 4.3751 4.3751 4.5936
angles: 90.00 90.00 120.00
Element x y z (fractional)
Ac 0.6667 0.3333 0.3334
Ge 0.3333 0.6667 0.8338
Zn 0.0000 0.0000 0.8328

=====

Name the least stable of them. model i.

=====

Model i:
# AcHfIn

A relaxed structure of AcHfIn (PBE, OQMD via LeMat-Bulk).

abc: 5.3524 5.3524 5.3524
angles: 60.00 60.00 60.00
Element x y z (fractional)
In 0.7500 0.7500 0.7500
Hf 0.2500 0.2500 0.2500
Ac 0.0000 0.0000 0.0000

=====

Model ii:
# AcHfIn

A relaxed structure of AcHfIn (PBE, OQMD via LeMat-Bulk).

abc: 5.2131 5.2131 5.2131
angles: 60.00 60.00 60.00
Element x y z (fractional)
Ac 0.5000 0.5000 0.5000
In 0.2500 0.2500 0.2500
Hf 0.0000 0.0000 0.0000

=====

Name the least stable of them. model i.

=====

Model i:
# NaAcHf

A relaxed structure of NaAcHf (PBE, OQMD via LeMat-Bulk).

abc: 5.3669 5.3669 5.3669
angles: 60.00 60.00 60.00
Element x y z (fractional)
Hf 0.0000 0.0000 0.0000
Na 0.7500 0.7500 0.7500
Ac 0.2500 0.2500 0.2500

=====

Model ii:
# NaAcHf

A relaxed structure of NaAcHf (PBE, OQMD via LeMat-Bulk).

abc: 5.3993 5.3993 5.3993
angles: 60.00 60.00 60.00
Element x y z (fractional)
Ac 0.0000 0.0000 0.0000
Hf 0.2500 0.2500 0.2500
Na 0.7500 0.7500 0.7500

=====

Name the least stable of them. model ii.

=====

Model i:
# Ac2Hf2O5

A relaxed structure of Ac2Hf2O5 (PBE, OQMD via LeMat-Bulk).

abc: 7.6893 4.1806 4.1806
angles: 90.00 90.00 90.00
Element x y z (fractional)
Hf 0.7780 0.5000 0.5000
Hf 0.2220 0.5000 0.5000
O 0.2557 0.5000 0.0000
O 0.5000 0.5000 0.5000
O 0.2557 0.0000 0.5000
O 0.7443 0.0000 0.5000
Ac 0.0000 0.0000 0.0000
Ac 0.5000 0.0000 0.0000
O 0.7443 0.5000 0.0000

=====

Model ii:
# Ac2Hf2O5

A relaxed structure of Ac2Hf2O5 (PBE, OQMD via LeMat-Bulk).

abc: 10.1415 3.9531 3.9531
angles: 90.00 90.00 90.00
Last column: magnetic moment on the atom in μB.
Element x y z (fractional)
Hf 0.5000 0.0000 0.0000  -0.01
O 0.5000 0.5000 0.5000  0.14
Ac 0.7487 0.5000 0.5000  0.05
Hf 0.0000 0.0000 0.0000  0.91
O 0.6328 0.5000 0.0000  0.03
O 0.3672 0.5000 0.0000  0.03
O 0.6328 0.0000 0.5000  0.02
Ac 0.2513 0.5000 0.5000  0.05
O 0.3672 0.0000 0.5000  0.02

=====

Name the least stable of them. model ii.

=====

Model i:
# AcHfPb

A relaxed structure of AcHfPb (PBE, OQMD via LeMat-Bulk).

abc: 5.4334 5.4334 5.4334
angles: 60.00 60.00 60.00
Element x y z (fractional)
Pb 0.7500 0.7500 0.7500
Ac 0.0000 0.0000 0.0000
Hf 0.2500 0.2500 0.2500

=====

Model ii:
# AcHfPb

A relaxed structure of AcHfPb (PBE, OQMD via LeMat-Bulk).

abc: 5.2460 5.2460 5.2460
angles: 60.00 60.00 60.00
Element x y z (fractional)
Ac 0.2500 0.2500 0.2500
Hf 0.7500 0.7500 0.7500
Pb 0.0000 0.0000 0.0000

=====

Name the least stable of them. model i.

=====

Model i:
# AcHfSi

A relaxed structure of AcHfSi (PBE, OQMD via LeMat-Bulk).

abc: 4.8913 4.8913 4.8913
angles: 60.00 60.00 60.00
Element x y z (fractional)
Hf 0.7500 0.7500 0.7500
Ac 0.2500 0.2500 0.2500
Si 0.0000 0.0000 0.0000

=====

Model ii:
# AcHfSi

A relaxed structure of AcHfSi (PBE, OQMD via LeMat-Bulk).

abc: 5.1020 5.1020 5.1020
angles: 60.00 60.00 60.00
Element x y z (fractional)
Hf 0.2500 0.2500 0.2500
Si 0.7500 0.7500 0.7500
Ac 0.0000 0.0000 0.0000

=====

Name the least stable of them. model ii.

=====

Model i:
# AcHfSn

A relaxed structure of AcHfSn (PBE, OQMD via LeMat-Bulk).

abc: 5.1925 5.1925 5.1925
angles: 60.00 60.00 60.00
Element x y z (fractional)
Ac 0.2500 0.2500 0.2500
Sn 0.0000 0.0000 0.0000
Hf 0.7500 0.7500 0.7500

=====

Model ii:
# AcHfSn

A relaxed structure of AcHfSn (PBE, OQMD via LeMat-Bulk).

abc: 5.3596 5.3596 5.3596
angles: 60.00 60.00 60.00
Last column: magnetic moment on the atom in μB.
Element x y z (fractional)
Hf 0.2500 0.2500 0.2500  0.62
Sn 0.7500 0.7500 0.7500  -0.04
Ac 0.0000 0.0000 0.0000  0.14

=====

Name the least stable of them. model ii.

=====

Model i:
# AcHfTe

A relaxed structure of AcHfTe (PBE, OQMD via LeMat-Bulk).

abc: 5.2269 5.2269 5.2269
angles: 60.00 60.00 60.00
Element x y z (fractional)
Hf 0.7500 0.7500 0.7500
Ac 0.2500 0.2500 0.2500
Te 0.0000 0.0000 0.0000

=====

Model ii:
# AcHfTe

A relaxed structure of AcHfTe (PBE, OQMD via LeMat-Bulk).

abc: 5.5419 5.5419 5.5419
angles: 60.00 60.00 60.00
Element x y z (fractional)
Ac 0.0000 0.0000 0.0000
Hf 0.2500 0.2500 0.2500
Te 0.7500 0.7500 0.7500

=====

Name the least stable of them. model ii.